(1)
Here is Co5Se4Br2O12 after structural relaxation from Alexandria via LeMat-Bulk. Energies are from PBEsol.

Values from the calculation:
total magnetization	15.0	μB/f.u.
ΔE_f (raw)	-0.65	eV per atom
density	4.8	g/cm³
space group	P-1, No. 2

a b c (Å): 6.487 7.574 7.711
angles (deg): 66.35 72.37 82.00
Site moments in Bohr magnetons follow the coordinates.
Element x y z (fractional)
O 0.951 0.193 0.367  0.15
O 0.582 0.305 0.507  0.10
O 0.264 0.075 0.780  0.12
O 0.355 0.111 0.381  0.13
O 0.736 0.925 0.220  0.12
O 0.645 0.889 0.619  0.13
O 0.418 0.695 0.493  0.10
O 0.166 0.949 0.207  0.12
O 0.834 0.051 0.793  0.12
O 0.837 0.585 0.461  0.13
O 0.163 0.415 0.539  0.13
O 0.049 0.807 0.633  0.15
Se 0.345 0.313 0.683  0.03
Se 0.205 0.170 0.213  0.04
Se 0.795 0.830 0.787  0.04
Se 0.655 0.687 0.317  0.03
Co 0.667 0.115 0.361  2.51
Co 0.000 0.000 0.000  2.48
Co 0.118 0.696 0.433  2.55
Co 0.882 0.304 0.567  2.55
Co 0.333 0.885 0.639  2.51
Br 0.805 0.338 0.982  0.14
Br 0.195 0.662 0.018  0.14

(2)
Here is Sr2CoBr2O2 after structural relaxation from Alexandria via LeMat-Bulk. Energies are from PBEsol.

Values from the calculation:
total magnetization	2.1	μB/f.u.
ΔE_f (raw)	-1.95	eV per atom
density	5.1	g/cm³
space group	I4/mmm, No. 139

a b c (Å): 3.858 3.857 9.649
angles (deg): 101.53 101.53 90.00
Site moments in Bohr magnetons follow the coordinates.
Element x y z (fractional)
Br 0.824 0.324 0.648  0.00
Br 0.176 0.676 0.352  0.00
Sr 0.594 0.094 0.188  0.00
Sr 0.406 0.906 0.812  0.00
O 0.500 0.500 0.000  0.12
O 0.000 0.000 0.000  0.12
Co 0.000 0.500 0.000  1.83

(3)
Here is Co2OsBr after structural relaxation from Alexandria via LeMat-Bulk. Energies are from PBEsol.

Values from the calculation:
total magnetization	2.0	μB/f.u.
energy above the lowest structure with this stoichiometry	0.387	eV/atom
ΔE_f (raw)	0.91	eV per atom
density	12.4	g/cm³
space group	Cmmm, No. 65

a b c (Å): 2.743 4.463 4.463
angles (deg): 107.92 90.00 90.00
Site moments in Bohr magnetons follow the coordinates.
Element x y z (fractional)
Co 0.000 0.000 0.500  0.91
Co 0.000 0.500 0.000  0.91
Br 0.500 0.500 0.500  0.05
Os 0.500 0.000 0.000  0.19

(4)
Here is Co2OsBr after structural relaxation from Alexandria via LeMat-Bulk. Energies are from PBEsol.

Values from the calculation:
total magnetization	0.6	μB/f.u.
energy above the lowest structure with this stoichiometry	0.000	eV/atom
ΔE_f (raw)	0.52	eV per atom
density	11.7	g/cm³
space group	Pmmm, No. 47

a b c (Å): 2.772 2.702 7.370
angles (deg): 89.99 90.00 90.00
Site moments in Bohr magnetons follow the coordinates.
Element x y z (fractional)
Br 0.500 0.500 0.000  0.02
Os 0.500 0.000 0.500  0.04
Co 0.000 0.500 0.719  0.27
Co 0.000 0.500 0.281  0.27